NiRuPt2, relaxed, DFT PBEsol; total magnetization = 1.4 μB/f.u.; space group = F-43m (216); ΔH_f (0 K) = 1.1 eV/f.u.; mass density = 16.52 g/cm3
1.0
-1.429 0.285 4.020
0.967 -3.052 2.834
2.729 0.827 3.186
Ni Pt Ru
1 2 1
Direct
0.500 0.500 0.500 Ni
0.000 0.000 0.000 Pt
0.750 0.750 0.750 Pt
0.250 0.250 0.250 Ru

***

ZnIrN2F, relaxed, DFT PBEsol; total magnetization = 0.0 μB/f.u.; space group = P4/mmm (123); mass density = 8.05 g/cm3; formation energy without anion corrections = 493 meV per atom
1.0
3.785 0.000 0.000
0.000 3.785 0.000
0.000 0.000 4.385
N Zn Ir F
2 1 1 1
Direct
0.000 0.500 0.000 N
0.500 0.000 0.000 N
0.500 0.500 0.500 Zn
0.000 0.000 0.000 Ir
0.000 0.000 0.500 F

***

Zn3Ag, relaxed, DFT PBEsol; total magnetization = 0.0 μB/f.u.; space group = Fm-3m (225); ΔH_f (0 K) = 0.0 eV/f.u.; mass density = 8.69 g/cm3
1.0
-2.931 -2.210 2.329
1.260 -3.358 2.457
-0.039 0.343 4.334
Zn Ag
3 1
Direct
0.250 0.250 0.250 Zn
0.500 0.500 0.500 Zn
0.750 0.750 0.750 Zn
0.000 0.000 0.000 Ag

***

CdPt2W, relaxed, DFT PBEsol; total magnetization = 0.4 μB/f.u.; space group = P4/mmm (123); ΔH_f (0 K) = 1.1 eV/f.u.; mass density = 17.86 g/cm3
1.0
-2.207 -1.714 2.879
-2.511 -1.407 -2.762
2.189 -3.321 -0.299
W Pt Cd
1 2 1
Direct
0.500 0.500 0.500 W
0.000 0.000 0.500 Pt
0.000 0.500 0.000 Pt
0.500 0.000 0.000 Cd

***

Zr10HN8, relaxed, DFT PBEsol; total magnetization = 0.0 μB/f.u.; space group = P-1 (2); VASP energy = -10.288 eV/atom; mass density = 7.20 g/cm3
1.0
5.568 0.004 0.006
0.946 5.489 0.006
2.714 2.283 7.745
Zr H N
10 1 8
Direct
0.637 0.256 0.947 Zr
0.951 0.738 0.845 Zr
0.049 0.262 0.155 Zr
0.363 0.744 0.053 Zr
0.452 0.242 0.346 Zr
0.751 0.752 0.250 Zr
0.859 0.245 0.553 Zr
0.141 0.755 0.447 Zr
0.249 0.248 0.750 Zr
0.548 0.758 0.654 Zr
0.500 0.500 0.500 H
0.601 0.998 0.801 N
0.299 0.501 0.901 N
0.399 0.002 0.199 N
0.701 0.499 0.099 N
0.802 0.001 0.400 N
0.102 0.500 0.300 N
0.198 0.999 0.600 N
0.898 0.500 0.700 N

***

Ho2ZnHg, relaxed, DFT PBEsol; total magnetization = 0.0 μB/f.u.; space group = Fm-3m (225); ΔH_f (0 K) = -1.8 eV/f.u.; mass density = 10.83 g/cm3
1.0
-3.822 3.308 -0.080
-2.195 1.431 4.323
0.683 4.694 1.748
Zn Hg Ho
1 1 2
Direct
0.000 0.000 0.000 Zn
0.500 0.500 0.500 Hg
0.250 0.250 0.250 Ho
0.750 0.750 0.750 Ho

***

> Number 4 is which compound?

CdPt2W

***

What did the fifth record say?
Zr10HN8, relaxed, DFT PBEsol; total magnetization = 0.0 μB/f.u.; space group = P-1 (2); VASP energy = -10.288 eV/atom; mass density = 7.20 g/cm3
1.0
5.568 0.004 0.006
0.946 5.489 0.006
2.714 2.283 7.745
Zr H N
10 1 8
Direct
0.637 0.256 0.947 Zr
0.951 0.738 0.845 Zr
0.049 0.262 0.155 Zr
0.363 0.744 0.053 Zr
0.452 0.242 0.346 Zr
0.751 0.752 0.250 Zr
0.859 0.245 0.553 Zr
0.141 0.755 0.447 Zr
0.249 0.248 0.750 Zr
0.548 0.758 0.654 Zr
0.500 0.500 0.500 H
0.601 0.998 0.801 N
0.299 0.501 0.901 N
0.399 0.002 0.199 N
0.701 0.499 0.099 N
0.802 0.001 0.400 N
0.102 0.500 0.300 N
0.198 0.999 0.600 N
0.898 0.500 0.700 N

***

> Which of these has the lowest mass density?

Zr10HN8

***

What did the fifth record say?
Zr10HN8, relaxed, DFT PBEsol; total magnetization = 0.0 μB/f.u.; space group = P-1 (2); VASP energy = -10.288 eV/atom; mass density = 7.20 g/cm3
1.0
5.568 0.004 0.006
0.946 5.489 0.006
2.714 2.283 7.745
Zr H N
10 1 8
Direct
0.637 0.256 0.947 Zr
0.951 0.738 0.845 Zr
0.049 0.262 0.155 Zr
0.363 0.744 0.053 Zr
0.452 0.242 0.346 Zr
0.751 0.752 0.250 Zr
0.859 0.245 0.553 Zr
0.141 0.755 0.447 Zr
0.249 0.248 0.750 Zr
0.548 0.758 0.654 Zr
0.500 0.500 0.500 H
0.601 0.998 0.801 N
0.299 0.501 0.901 N
0.399 0.002 0.199 N
0.701 0.499 0.099 N
0.802 0.001 0.400 N
0.102 0.500 0.300 N
0.198 0.999 0.600 N
0.898 0.500 0.700 N